Below is BaTaCr2 after structural relaxation, with properties calculated at the PBEsol level. Values from VASP.

```
&SYSTEM
  ibrav = 0, nat = 8, ntyp = 3
/
ATOMIC_SPECIES
Ba 137.33 Ba.upf
Ta 180.95 Ta.upf
Cr 52.00 Cr.upf
ATOMIC_POSITIONS angstrom
Ba 0.0000 0.0000 0.0000
Ba 4.5242 1.5391 0.0000
Ta -0.2790 1.5391 3.2098
Ta 4.2452 0.0000 3.2098
Cr 1.7955 0.0000 3.9515
Cr 2.1707 1.5391 2.4681
Cr 6.3197 1.5391 3.9515
Cr 6.6949 0.0000 2.4681
CELL_PARAMETERS angstrom
9.0484 0.0000 0.0000
0.0000 3.0781 0.0000
-0.5580 0.0000 6.4196
```

Values from the calculation:
D(E_F)	1.14	states/eV per atom
ΔE_f	0.9011	eV/atom
distance to the lowest polymorph of the same formula	0	meV/atom
crystal system	monoclinic